# 1
Density functional theory data (PBE-GGA) for an optimized crystal structure of BiRhCl3.

As for the uncorrected formation energy: 138 kJ/mol of formula units.

It has space group Pm-3m (No. 221), with a = 5.478 Å, b = 5.478 Å, c = 5.478 Å, α = 90.00°, β = 90.00° and γ = 90.00°. The distinct sites, in fractional coordinates, are Bi at (0.000, 0.000, 0.000), Rh at (0.500, 0.500, 0.500) and Cl at (0.000, 0.000, 0.500).

---

# 2
Density functional theory data (PBE-GGA) for an optimized crystal structure of Bi2RhCl.

As for the uncorrected formation energy: -111 kJ/mol of formula units.

It has space group R3m (No. 160, hexagonal axes), with a = 3.8076 Å, b = 3.8076 Å, c = 24.4310 Å, α = 90.00°, β = 90.00° and γ = 120.00°. The distinct sites, in fractional coordinates, are Bi at (0.0000, 0.0000, 0.0000), Bi at (0.0000, 0.0000, 0.1951), Rh at (0.0000, 0.0000, 0.5973) and Cl at (0.0000, 0.0000, 0.4257).

---

# 3
Density functional theory data (PBE-GGA) for an optimized crystal structure of BiRuRh2Cl.

As for the uncorrected formation energy: 564 kJ/mol of formula units.

It has space group P4/mmm (No. 123), with a = 4.347 Å, b = 4.347 Å, c = 5.353 Å, α = 90.00°, β = 90.00° and γ = 90.00°. The distinct sites, in fractional coordinates, are Bi at (0.000, 0.000, 0.000), Ru at (0.500, 0.500, 0.000), Rh at (0.000, 0.500, 0.500) and Cl at (0.000, 0.000, 0.500).

---

# 4
Density functional theory data (PBE-GGA) for an optimized crystal structure of VBiRhCl.

As for the uncorrected formation energy: -93 kJ/mol of formula units.

It has space group Pm (No. 6), with a = 3.009 Å, b = 3.009 Å, c = 8.835 Å, α = 90.00°, β = 90.27° and γ = 90.00°. The distinct sites, in fractional coordinates, are V at (0.000, 0.000, 0.000), Bi at (0.994, 0.000, 0.577), Rh at (0.497, 0.500, 0.813) and Cl at (0.503, 0.500, 0.166).

---

Record-wise VASP energy values, in eV for the cell shown: -15.34 -54.34 -23.86 -23.16
Record-wise size of the total moment values, in μB per formula unit: 1.30 0.00 1.47 0.00